Entry 1:
UTlSe2O8 | PBE | relaxed

The calculation puts the uncorrected formation energy at -1.35 eV per atom.

The structure in CIF format:
```
data_UTlSe2O8
_cell_length_a 6.1851
_cell_length_b 6.1851
_cell_length_c 7.7226
_cell_angle_alpha 90.00
_cell_angle_beta 90.00
_cell_angle_gamma 120.00
_symmetry_space_group_name_H-M 'P 1'
_symmetry_Int_Tables_number 1
loop_
_symmetry_equiv_pos_as_xyz
'x,y,z'
loop_
_atom_site_label
_atom_site_fract_x
_atom_site_fract_y
_atom_site_fract_z
_atom_site_occupancy
U1 0.0000 0.0000 0.0000 1
Tl1 0.0000 0.0000 0.5000 1
Se1 0.3333 0.6667 0.7905 1
Se2 0.6667 0.3333 0.2095 1
O1 0.1548 0.3096 0.8368 1
O2 0.1548 0.8452 0.8368 1
O3 0.3096 0.1548 0.1632 1
O4 0.3333 0.6667 0.5789 1
O5 0.6667 0.3333 0.4211 1
O6 0.6904 0.8452 0.8368 1
O7 0.8452 0.1548 0.1632 1
O8 0.8452 0.6904 0.1632 1
```

=====

Entry 2:
Sm2Mg3Co2 | PBE | relaxed

The energy of formation comes out at -0.092 eV per atom.

The structure in CIF format:
```
data_Sm2Mg3Co2
_cell_length_a 5.5561
_cell_length_b 5.5561
_cell_length_c 7.0777
_cell_angle_alpha 98.48
_cell_angle_beta 98.48
_cell_angle_gamma 44.41
_symmetry_space_group_name_H-M 'P 1'
_symmetry_Int_Tables_number 1
loop_
_symmetry_equiv_pos_as_xyz
'x,y,z'
loop_
_atom_site_label
_atom_site_fract_x
_atom_site_fract_y
_atom_site_fract_z
_atom_site_occupancy
Sm1 0.1276 0.1276 0.3648 1
Sm2 0.8724 0.8724 0.6352 1
Mg1 0.1806 0.1806 0.8559 1
Mg2 0.5000 0.5000 0.0000 1
Mg3 0.8194 0.8194 0.1441 1
Co1 0.4266 0.4266 0.3639 1
Co2 0.5734 0.5734 0.6361 1
```

=====

Entry 3:
Y3VIr | PBE | relaxed

The energy of formation comes out at 0.138 eV per atom. Its energy above the most stable polymorph in this dataset is 0 meV/atom.

The structure in CIF format:
```
data_Y3VIr
_cell_length_a 5.3635
_cell_length_b 5.3635
_cell_length_c 5.3635
_cell_angle_alpha 90.00
_cell_angle_beta 90.00
_cell_angle_gamma 90.00
_symmetry_space_group_name_H-M 'P 1'
_symmetry_Int_Tables_number 1
loop_
_symmetry_equiv_pos_as_xyz
'x,y,z'
loop_
_atom_site_label
_atom_site_fract_x
_atom_site_fract_y
_atom_site_fract_z
_atom_site_occupancy
Y1 0.0000 0.0000 0.5000 1
Y2 0.0000 0.5000 0.0000 1
Y3 0.5000 0.0000 0.0000 1
V1 0.5000 0.5000 0.5000 1
Ir1 0.0000 0.0000 0.0000 1
```